# Zr3CdGe

A relaxed Zr3CdGe crystal (PBE, Alexandria via LeMat-Bulk).

a = 5.034 Å, b = 5.034 Å, c = 5.034 Å
α = 90.00°, β = 90.00°, γ = 90.00°
Element x y z (fractional)
Zr (0.000, 0.000, 0.500)
Zr (0.000, 0.500, 0.000)
Zr (0.500, 0.000, 0.000)
Cd (0.500, 0.500, 0.500)
Ge (0.000, 0.000, 0.000)

Calculated values
- energy above the most stable polymorph in this dataset (meV per atom) = 0
- energy of formation from the pure elements (eV per atom) = 0.149
- SG = Pm-3m (221)

---

# Pr3Nd6Tm

A relaxed Pr3Nd6Tm crystal (PBE, Alexandria via LeMat-Bulk).

a = 6.829 Å, b = 6.829 Å, c = 8.959 Å
α = 100.12°, β = 100.12°, γ = 62.05°
Element x y z (fractional)
Pr (0.000, 0.000, 0.000)
Pr (0.465, 0.465, 0.661)
Pr (0.535, 0.535, 0.339)
Nd (0.026, 0.485, 0.313)
Nd (0.339, 0.339, 0.007)
Nd (0.485, 0.026, 0.313)
Nd (0.515, 0.974, 0.687)
Nd (0.661, 0.661, 0.993)
Nd (0.974, 0.515, 0.687)
Tm (0.000, 0.000, 0.500)

Calculated values
- energy above the most stable polymorph in this dataset (meV per atom) = 121
- energy of formation from the pure elements (eV per atom) = 0.254
- SG = C2/m (12)

---

Copy entry 1 word for word.
# Zr3CdGe

A relaxed Zr3CdGe crystal (PBE, Alexandria via LeMat-Bulk).

a = 5.034 Å, b = 5.034 Å, c = 5.034 Å
α = 90.00°, β = 90.00°, γ = 90.00°
Element x y z (fractional)
Zr (0.000, 0.000, 0.500)
Zr (0.000, 0.500, 0.000)
Zr (0.500, 0.000, 0.000)
Cd (0.500, 0.500, 0.500)
Ge (0.000, 0.000, 0.000)

Calculated values
- energy above the most stable polymorph in this dataset (meV per atom) = 0
- energy of formation from the pure elements (eV per atom) = 0.149
- SG = Pm-3m (221)